w:
First-principles (PBE-GGA) data for an optimized crystal structure of CrIrRh4, as listed in the Alexandria database.

Structure (POSCAR):
```
CrIrRh4
1.0
4.436 0.000 0.000
2.218 3.825 -0.786
2.218 -0.993 5.372
Rh Ir Cr
4 1 1
Cartesian
2.218 0.224 3.031 Rh
4.436 2.615 -0.023 Rh
6.654 2.607 1.555 Rh
4.436 0.216 4.609 Rh
0.000 0.000 0.000 Ir
4.436 1.416 2.293 Cr
```

x:
First-principles (PBE-GGA) data for an optimized crystal structure of CrIrRh4, as listed in the Alexandria database.

Structure (POSCAR):
```
CrIrRh4
1.0
3.613 0.000 -1.225
0.000 3.818 0.000
0.032 0.000 6.033
Rh Cr Ir
4 1 1
Cartesian
1.245 0.000 3.671 Rh
2.399 3.818 1.136 Rh
0.599 1.909 1.765 Rh
3.046 1.909 3.043 Rh
0.000 0.000 0.000 Cr
1.806 1.909 -0.613 Ir
```

y:
First-principles (PBE-GGA) data for an optimized crystal structure of CrIrRh4, as listed in the Alexandria database.

Structure (POSCAR):
```
CrIrRh4
1.0
0.000 3.576 3.576
3.576 0.000 3.576
3.576 3.576 0.000
Rh Ir Cr
4 1 1
Cartesian
2.681 2.681 2.681 Rh
4.471 2.681 4.471 Rh
4.471 4.471 2.681 Rh
2.681 4.471 4.471 Rh
0.000 0.000 0.000 Ir
5.365 5.365 5.365 Cr
```

Most favorable structure: x. The second most favorable one is 20.7 kJ/mol of atoms above it.

w:
First-principles (PBE-GGA) data for an optimized crystal structure of CrIr2Rh5, as listed in the Alexandria database.

Structure (POSCAR):
```
CrIr2Rh5
1.0
-3.517 -0.071 -1.506
-1.249 -2.006 3.010
0.686 7.579 2.902
Rh Ir Cr
5 2 1
Cartesian
-1.902 3.922 4.256 Rh
-1.044 0.613 2.408 Rh
-2.178 1.580 0.149 Rh
-2.383 -1.038 0.752 Rh
-3.036 4.889 1.998 Rh
-0.857 3.303 1.845 Ir
-3.223 2.199 2.560 Ir
0.000 0.000 0.000 Cr
```

x:
First-principles (PBE-GGA) data for an optimized crystal structure of CrIr2Rh5, as listed in the Alexandria database.

Structure (POSCAR):
```
CrIr2Rh5
1.0
-5.459 0.473 3.636
-0.264 -6.555 0.457
5.920 3.236 2.520
Rh Cr Ir
10 2 4
Cartesian
-2.861 -3.041 2.047 Rh
-1.563 -0.557 5.477 Rh
1.761 -2.289 1.136 Rh
0.024 -4.135 2.379 Rh
0.174 1.290 4.235 Rh
2.691 -4.214 2.784 Rh
-2.494 1.369 3.830 Rh
-0.917 -0.765 2.865 Rh
1.114 -2.081 3.749 Rh
0.000 0.000 0.000 Rh
-1.332 -2.943 4.330 Cr
1.529 0.098 2.283 Cr
-4.883 -3.761 3.432 Ir
-3.509 -0.591 2.375 Ir
-2.214 -5.490 1.718 Ir
-0.839 -2.321 0.661 Ir
```

Most favorable structure: w. The second most favorable one is 29.8 kJ/mol of atoms above it.

w:
First-principles (PBE-GGA) data for an optimized crystal structure of CrIr2Rh4, as listed in the Alexandria database.

Structure (POSCAR):
```
CrIr2Rh4
1.0
-8.439 -0.062 2.881
8.544 -1.828 1.784
0.585 4.502 1.811
Rh Ir Cr
8 4 2
Cartesian
-1.761 1.756 2.798 Rh
2.132 -0.930 1.622 Rh
4.707 2.430 2.237 Rh
-4.078 1.062 1.880 Rh
-3.777 3.378 2.812 Rh
2.451 0.856 3.678 Rh
-2.027 -0.960 3.043 Rh
4.422 0.244 1.358 Rh
1.325 -1.783 4.004 Ir
-1.220 -0.107 0.661 Ir
-0.849 0.725 5.069 Ir
1.539 1.887 1.407 Ir
0.491 2.431 3.691 Cr
0.199 0.181 2.785 Cr
```

x:
First-principles (PBE-GGA) data for an optimized crystal structure of CrIr2Rh4, as listed in the Alexandria database.

Structure (POSCAR):
```
CrIr2Rh4
1.0
-2.672 -0.505 -0.040
1.891 -2.236 -5.679
1.971 -10.817 4.915
Cr Ir Rh
2 4 8
Cartesian
0.364 -9.361 1.386 Cr
0.826 -4.197 -2.189 Cr
0.765 -11.372 0.039 Ir
0.332 -8.998 -1.040 Ir
0.858 -4.560 0.237 Ir
0.426 -2.186 -0.842 Ir
-0.350 -5.661 2.438 Rh
-1.336 -0.252 -0.020 Rh
1.339 -7.141 0.735 Rh
-0.836 -2.645 -3.252 Rh
-0.334 -5.240 -4.020 Rh
1.524 -8.318 3.217 Rh
-0.149 -6.416 -1.538 Rh
2.026 -10.913 2.449 Rh
```

Most favorable structure: x. The second most favorable one is 25.6 kJ/mol of atoms above it.

w:
First-principles (PBE-GGA) data for an optimized crystal structure of CrIrRu2, as listed in the Alexandria database.

Structure (POSCAR):
```
CrIrRu2
1.0
4.643 0.003 -0.001
1.543 4.380 0.001
-3.093 -2.192 2.682
Ir Ru Cr
1 2 1
Cartesian
0.772 2.190 1.341 Ir
0.000 0.000 0.000 Ru
2.322 0.001 1.341 Ru
3.093 2.191 0.000 Cr
```

x:
First-principles (PBE-GGA) data for an optimized crystal structure of CrIrRu2, as listed in the Alexandria database.

Structure (POSCAR):
```
CrIrRu2
1.0
-2.841 3.953 2.042
-3.729 -0.892 3.628
5.066 -0.248 -1.464
Ru Ir Cr
2 1 1
Cartesian
-3.499 1.630 3.020 Ru
-6.357 2.961 5.486 Ru
-0.974 0.195 2.499 Ir
-0.530 2.618 1.706 Cr
```

Most favorable structure: w. The second most favorable one is 25.3 kJ/mol of atoms above it.

w:
First-principles (PBE-GGA) data for an optimized crystal structure of CrIrRu2, as listed in the Alexandria database.

Structure (POSCAR):
```
CrIrRu2
1.0
3.788 0.000 0.000
0.000 3.787 0.000
0.000 0.000 3.806
Ir Cr Ru
1 1 2
Cartesian
0.000 1.894 1.903 Ir
1.894 0.000 1.903 Cr
1.894 1.894 0.000 Ru
0.000 0.000 0.000 Ru
```

x:
First-principles (PBE-GGA) data for an optimized crystal structure of CrIrRu2, as listed in the Alexandria database.

Structure (POSCAR):
```
CrIrRu2
1.0
3.758 0.000 0.000
0.000 2.693 0.002
0.000 2.694 5.387
Ir Cr Ru
1 1 2
Cartesian
1.879 4.040 4.042 Ir
1.879 1.347 1.347 Cr
0.000 2.695 2.634 Ru
0.000 2.691 0.063 Ru
```

y:
First-principles (PBE-GGA) data for an optimized crystal structure of CrIrRu2, as listed in the Alexandria database.

Structure (POSCAR):
```
CrIrRu2
1.0
-4.313 1.625 0.561
-4.154 -0.679 1.960
0.553 2.417 3.918
Ru Cr Ir
2 1 1
Cartesian
0.547 2.400 3.892 Ru
-5.954 2.523 4.832 Ru
-3.959 1.683 3.223 Cr
-1.952 0.856 1.631 Ir
```

Most favorable structure: w. The second most favorable one is 4.8 kJ/mol of atoms above it.

w:
First-principles (PBE-GGA) data for an optimized crystal structure of CrIrRu2, as listed in the Alexandria database.

Structure (POSCAR):
```
CrIrRu2
1.0
4.630 0.016 0.000
-1.526 4.372 0.000
0.000 0.000 2.707
Ir Ru Cr
1 2 1
Cartesian
-0.763 2.186 1.354 Ir
0.000 0.000 0.000 Ru
1.552 2.194 0.000 Ru
2.315 0.008 1.354 Cr
```

x:
First-principles (PBE-GGA) data for an optimized crystal structure of CrIrRu2, as listed in the Alexandria database.

Structure (POSCAR):
```
CrIrRu2
1.0
-2.701 -3.414 -1.624
1.076 -0.852 -4.439
2.627 0.322 3.818
Ru Ir Cr
2 1 1
Cartesian
0.000 0.000 0.000 Ru
-0.813 -2.133 -3.031 Ru
-0.443 -2.612 -0.418 Ir
1.445 -1.331 -1.826 Cr
```

Most favorable structure: x. The second most favorable one is 3.0 kJ/mol of atoms above it.

w:
First-principles (PBE-GGA) data for an optimized crystal structure of CrIr3Ru, as listed in the Alexandria database.

Structure (POSCAR):
```
CrIr3Ru
1.0
-1.875 0.923 -1.677
-0.583 -6.843 -3.114
-5.715 -1.935 5.323
Ir Ru Cr
6 2 2
Cartesian
-1.229 -2.960 -2.396 Ir
-3.217 -3.749 -0.608 Ir
-4.685 -0.923 2.588 Ir
-4.956 -4.107 1.139 Ir
-3.488 -6.933 -2.057 Ir
-0.937 0.462 -0.839 Ir
-1.375 -5.450 -1.463 Ru
-4.924 -3.329 3.671 Ru
-5.903 -6.204 1.043 Cr
-2.270 -1.651 -0.512 Cr
```

x:
First-principles (PBE-GGA) data for an optimized crystal structure of CrIr3Ru, as listed in the Alexandria database.

Structure (POSCAR):
```
CrIr3Ru
1.0
-2.464 -1.570 -3.348
-1.584 -3.187 2.661
-3.342 2.669 1.208
Ir Cr Ru
3 1 1
Cartesian
-1.671 1.334 0.604 Ir
-0.792 -1.594 1.330 Ir
-1.232 -0.785 -1.674 Ir
0.000 0.000 0.000 Cr
-3.695 -1.044 0.260 Ru
```

Most favorable structure: w. The second most favorable one is 100.4 kJ/mol of atoms above it.

w:
First-principles (PBE-GGA) data for an optimized crystal structure of CrIr2Ru, as listed in the Alexandria database.

Structure (POSCAR):
```
CrIr2Ru
1.0
-0.479 -3.968 -1.529
2.547 0.052 -0.933
1.534 -1.761 4.090
Ir Ru Cr
2 1 1
Cartesian
0.536 -2.502 0.338 Ir
1.782 -1.675 3.787 Ir
2.303 -0.785 1.315 Ru
2.554 -3.332 1.858 Cr
```

x:
First-principles (PBE-GGA) data for an optimized crystal structure of CrIr2Ru, as listed in the Alexandria database.

Structure (POSCAR):
```
CrIr2Ru
1.0
8.814 -0.013 -0.008
8.402 2.665 -0.008
8.402 1.294 2.330
Ru Ir Cr
1 2 1
Cartesian
6.404 0.986 0.578 Ru
0.079 0.012 0.007 Ir
12.729 1.961 1.150 Ir
19.213 2.959 1.735 Cr
```

Most favorable structure: w. The second most favorable one is 16.0 kJ/mol of atoms above it.